VASP calculation (PBE-GGA) on ZrV3Te after structural relaxation.

Output
Excess energy over the best structure of this formula in the dataset ... 414 meV per atom
SG ... No. 221

a b c (Å): 4.7201 4.7201 4.7201
angles (deg): 90.00 90.00 90.00
With the nearest neighbours (Å) after each atom.
Sites, in units of the cell vectors:
Zr 0.0000 0.0000 0.0000  6 V 2.36
V 0.5000 0.0000 0.0000  2 Zr 2.36
V 0.0000 0.5000 0.0000  2 Zr 2.36
V 0.0000 0.0000 0.5000  2 Zr 2.36
Te 0.5000 0.5000 0.5000  12 V 3.34

***

VASP calculation (PBE-GGA) on ZrVTe after structural relaxation.

Output
SG ... No. 63

a b c (Å): 3.9865 3.5364 9.9511
angles (deg): 79.76 90.00 90.00
With the nearest neighbours (Å) after each atom.
Sites, in units of the cell vectors:
Te 0.7500 0.3312 0.3376  1 V 2.87, 4 Zr 3.00
Te 0.2500 0.6688 0.6624  1 V 2.87, 4 Zr 3.00
V 0.2500 0.5221 0.9558  2 V 2.17
V 0.7500 0.4779 0.0442  2 V 2.17
Zr 0.7500 0.0979 0.8042  6 V 2.94-3.05, 4 Te 3.00
Zr 0.2500 0.9021 0.1958  6 V 2.94-3.05, 4 Te 3.00

***

Fermi-level density of states readings, ordered: 8.25; 2.09 states/eV/cell
Formation energy from raw total energies readings, ordered: 7.55; -1.09 eV per formula unit